Entry 1:
Computed, not measured: a relaxed structure of LuNiPb at the PBE-GGA level of DFT. Values from VASP.

Properties
Electronic total energy: -14.59 eV/f.u.
Space group: P-62m

Structure (Quantum ESPRESSO input):
```
&SYSTEM
  ibrav = 0, nat = 9, ntyp = 3
/
ATOMIC_SPECIES
Lu 174.97 Lu.upf
Ni 58.69 Ni.upf
Pb 207.20 Pb.upf
ATOMIC_POSITIONS crystal
Lu 0.000 0.561 0.000
Ni 0.769 0.769 0.500
Pb 0.333 0.667 0.500
Lu 0.561 0.000 0.000
Pb 0.667 0.333 0.500
Pb 0.000 0.000 0.000
Ni 0.000 0.231 0.500
Ni 0.231 0.000 0.500
Lu 0.439 0.439 0.000
CELL_PARAMETERS angstrom
-4.497 4.882 -2.106
-0.026 -2.131 6.629
2.942 3.152 1.025
```

=====

Entry 2:
Computed, not measured: a relaxed structure of Rb2NaHgI6 at the PBE-GGA level of DFT. Values from VASP.

Properties
Electronic total energy: -21.06 eV/f.u.
Space group: I4/m

Structure (Quantum ESPRESSO input):
```
&SYSTEM
  ibrav = 0, nat = 10, ntyp = 4
/
ATOMIC_SPECIES
I 126.90 I.upf
Hg 200.59 Hg.upf
Rb 85.47 Rb.upf
Na 22.99 Na.upf
ATOMIC_POSITIONS crystal
I 0.758 0.758 0.000
Hg 0.000 0.000 0.000
Rb 0.750 0.250 0.500
Na 0.500 0.500 0.000
I 0.835 0.674 0.509
I 0.242 0.242 0.000
I 0.165 0.326 0.491
Rb 0.250 0.750 0.500
I 0.326 0.835 0.160
I 0.674 0.165 0.840
CELL_PARAMETERS angstrom
1.805 -1.152 8.408
-8.230 0.315 2.729
2.763 -5.334 -6.260
```

=====

Entry 3:
Computed, not measured: a relaxed structure of LaPr2Cu2Si4Ni2 at the PBE-GGA level of DFT. Values from VASP.

Properties
Electronic total energy: -62.07 eV/f.u.
Excess energy over the best structure of this formula in the dataset: 2.5 kJ/mol of atoms
Space group: Immm

Structure (Quantum ESPRESSO input):
```
&SYSTEM
  ibrav = 0, nat = 11, ntyp = 5
/
ATOMIC_SPECIES
Pr 140.91 Pr.upf
Ni 58.69 Ni.upf
Si 28.09 Si.upf
La 138.91 La.upf
Cu 63.55 Cu.upf
ATOMIC_POSITIONS crystal
Pr 0.150 0.650 0.500
Ni 0.403 0.903 0.500
Si 0.305 0.805 0.500
La 0.000 0.000 0.000
Si 0.695 0.195 0.500
Cu 0.249 0.249 0.000
Ni 0.597 0.097 0.500
Pr 0.850 0.350 0.500
Cu 0.751 0.751 0.000
Si 0.448 0.448 0.000
Si 0.552 0.552 0.000
CELL_PARAMETERS angstrom
2.386 -0.603 11.910
5.645 3.940 10.026
-6.293 0.121 -10.406
```

=====

Entry 4:
Computed, not measured: a relaxed structure of TmScGa4Pd2 at the PBE-GGA level of DFT. Values from VASP.

Properties
Electronic total energy: -39.44 eV/f.u.
Space group: Amm2

Structure (Quantum ESPRESSO input):
```
&SYSTEM
  ibrav = 0, nat = 8, ntyp = 4
/
ATOMIC_SPECIES
Tm 168.93 Tm.upf
Ga 69.72 Ga.upf
Pd 106.42 Pd.upf
Sc 44.96 Sc.upf
ATOMIC_POSITIONS crystal
Tm 0.582 0.500 0.664
Ga 0.129 0.804 0.759
Ga 0.873 0.703 0.245
Ga 0.873 0.297 0.245
Pd 0.703 0.000 0.906
Pd 0.295 0.500 0.090
Sc 0.416 0.000 0.332
Ga 0.129 0.196 0.759
CELL_PARAMETERS angstrom
4.310 0.000 0.000
0.000 6.608 0.000
-2.156 0.000 4.983
```

=====

Entry 5:
Computed, not measured: a relaxed structure of TbHfAsO at the PBE-GGA level of DFT. Values from VASP.

Properties
Electronic total energy: -31.86 eV/f.u.
Excess energy over the best structure of this formula in the dataset: 0.0 kJ/mol of atoms
Space group: P4/nmm

Structure (Quantum ESPRESSO input):
```
&SYSTEM
  ibrav = 0, nat = 8, ntyp = 4
/
ATOMIC_SPECIES
O 16.00 O.upf
Tb 158.93 Tb.upf
Hf 178.49 Hf.upf
As 74.92 As.upf
ATOMIC_POSITIONS crystal
O 0.250 0.750 0.000
Tb 0.750 0.750 0.884
Hf 0.250 0.750 0.500
Hf 0.750 0.250 0.500
As 0.250 0.250 0.696
O 0.750 0.250 0.000
Tb 0.250 0.250 0.116
As 0.750 0.750 0.304
CELL_PARAMETERS angstrom
4.151 0.000 0.000
0.000 4.151 0.000
0.000 0.000 8.767
```

=====

no.,density (Mg/m³)
1,11.80
2,4.41
3,6.29
4,8.26
5,9.42